Compound: Ca2AcPaN4
Source: the Alexandria database
Functional: PBE
Structure: optimized geometry

Geometry as CIF:
```
data_Ca2AcPaN4
_symmetry_space_group_name_H-M 'P 1'
_symmetry_Int_Tables_number 1
_symmetry_space_group_name_Hall 'P 1'
_cell_length_a 3.6620
_cell_length_b 6.4832
_cell_length_c 6.2043
_cell_angle_alpha 111.26
_cell_angle_beta 90.00
_cell_angle_gamma 90.00
loop_
_atom_site_label
_atom_site_type_symbol
_atom_site_fract_x
_atom_site_fract_y
_atom_site_fract_z
Ca1 Ca 0.5000 0.0000 0.5000
Ca2 Ca 0.0000 0.5000 0.5000
Ac1 Ac 0.5000 0.5000 0.0000
Pa1 Pa 0.0000 0.0000 0.0000
N1 N 0.5000 0.2264 0.2282
N2 N 0.5000 0.7736 0.7718
N3 N 0.0000 0.2109 0.7841
N4 N 0.0000 0.7891 0.2159
```

Uncorrected formation energy in meV/atom: -1270.5